[1]
Compound: BiH2OsO8
Source: Alexandria
Functional: PBE
Structure: relaxed

Summary:
The space group is No. 2. As for the density of states at the Fermi level: 0.2705 states/eV/atom.

a b c (Å): 4.6683 5.1951 6.5659
angles (deg): 74.74 82.98 79.32
Element x y z (fractional)
Bi 0.0000 0.0000 0.0000
H 0.2911 0.4441 0.1635
H 0.7089 0.5559 0.8365
Os 0.0000 0.0000 0.5000
O 0.0214 0.2496 0.6530
O 0.0844 0.2414 0.2307
O 0.4256 0.8877 0.5213
O 0.4323 0.5768 0.0781
O 0.5677 0.4232 0.9219
O 0.5744 0.1123 0.4787
O 0.9156 0.7586 0.7693
O 0.9786 0.7504 0.3470

---

[2]
Compound: BiP2HO
Source: Alexandria
Functional: PBE
Structure: relaxed

Summary:
The space group is No. 123. The energy above the most stable polymorph in this dataset is 1083.4 meV/atom. As for the density of states at the Fermi level: 0.7903 states/eV/atom.

a b c (Å): 5.4894 5.4894 4.3218
angles (deg): 90.00 90.00 90.00
Element x y z (fractional)
Bi 0.0000 0.0000 0.0000
P 0.0000 0.5000 0.0000
P 0.5000 0.0000 0.0000
H 0.5000 0.5000 0.5000
O 0.0000 0.0000 0.5000

---

[3]
Compound: BiP2HO
Source: Alexandria
Functional: PBE
Structure: relaxed

Summary:
The space group is No. 123. The energy above the most stable polymorph in this dataset is 0.0 meV/atom. As for the density of states at the Fermi level: 0.3339 states/eV/atom.

a b c (Å): 3.5121 3.5121 5.7545
angles (deg): 90.00 90.00 90.00
Element x y z (fractional)
Bi 0.0000 0.0000 0.0000
P 0.0000 0.5000 0.5000
P 0.5000 0.0000 0.5000
H 0.5000 0.5000 0.5000
O 0.5000 0.5000 0.0000

---

[4]
Compound: BiPHO2
Source: Alexandria
Functional: PBE
Structure: relaxed

Summary:
The space group is No. 123. The energy above the most stable polymorph in this dataset is 430.7 meV/atom. As for the density of states at the Fermi level: 0.6018 states/eV/atom.

a b c (Å): 4.1607 4.1607 5.6662
angles (deg): 90.00 90.00 90.00
Element x y z (fractional)
Bi 0.0000 0.0000 0.0000
P 0.0000 0.0000 0.5000
H 0.5000 0.5000 0.5000
O 0.0000 0.5000 0.0000
O 0.5000 0.0000 0.0000

---

[5]
Compound: BiPHO2
Source: Alexandria
Functional: PBE
Structure: relaxed

Summary:
The space group is No. 123. The energy above the most stable polymorph in this dataset is 0.0 meV/atom. As for the density of states at the Fermi level: 0.2679 states/eV/atom.

a b c (Å): 4.3109 4.3109 3.1432
angles (deg): 90.00 90.00 90.00
Element x y z (fractional)
Bi 0.0000 0.0000 0.0000
P 0.5000 0.5000 0.0000
H 0.5000 0.5000 0.5000
O 0.0000 0.5000 0.5000
O 0.5000 0.0000 0.5000

---

[6]
Compound: PaBiHO5
Source: Alexandria
Functional: PBE
Structure: relaxed

Summary:
The space group is No. 15. As for the density of states at the Fermi level: 0.1493 states/eV/atom.

a b c (Å): 6.3482 6.3482 7.1563
angles (deg): 103.12 103.12 97.41
Element x y z (fractional)
Pa 0.0385 0.9615 0.7500
Pa 0.9615 0.0385 0.2500
Bi 0.0000 0.5000 0.0000
Bi 0.5000 0.0000 0.5000
H 0.3071 0.6929 0.7500
H 0.6929 0.3071 0.2500
O 0.1445 0.6306 0.7933
O 0.1566 0.1826 0.0418
O 0.1826 0.1566 0.5418
O 0.1971 0.8029 0.2500
O 0.3694 0.8555 0.7067
O 0.6306 0.1445 0.2933
O 0.8029 0.1971 0.7500
O 0.8174 0.8434 0.4582
O 0.8434 0.8174 0.9582
O 0.8555 0.3694 0.2067

---

[7]
Compound: BiH2PbO4
Source: Alexandria
Functional: PBE
Structure: relaxed

Summary:
The space group is No. 23. As for the density of states at the Fermi level: 0.2453 states/eV/atom.

a b c (Å): 4.8943 4.8943 4.8943
angles (deg): 114.12 113.82 100.80
Element x y z (fractional)
Bi 0.0000 0.0000 0.0000
H 0.2516 0.7516 0.5000
H 0.7484 0.2484 0.5000
Pb 0.5000 0.5000 0.0000
O 0.0893 0.5880 0.1746
O 0.4133 0.9147 0.8254
O 0.5867 0.4120 0.5014
O 0.9107 0.0853 0.4986

---

[8]
Compound: Bi2HPbO
Source: Alexandria
Functional: PBE
Structure: relaxed

Summary:
The space group is No. 123. As for the density of states at the Fermi level: 0.7751 states/eV/atom.

a b c (Å): 4.4456 4.4456 5.7186
angles (deg): 90.00 90.00 90.00
Element x y z (fractional)
Bi 0.0000 0.5000 0.0000
Bi 0.5000 0.0000 0.0000
H 0.0000 0.0000 0.0000
Pb 0.0000 0.0000 0.5000
O 0.5000 0.5000 0.5000

---

[9]
Compound: Pm2BiHO
Source: Alexandria
Functional: PBE
Structure: relaxed

Summary:
The space group is No. 119. As for the density of states at the Fermi level: 0.3375 states/eV/atom.

a b c (Å): 6.9243 6.9243 6.9243
angles (deg): 146.22 146.22 48.52
Element x y z (fractional)
Pm 0.1533 0.1533 0.0000
Pm 0.8467 0.8467 0.0000
Bi 0.5000 0.5000 0.0000
H 0.7500 0.2500 0.5000
O 0.2500 0.7500 0.5000

---

[10]
Compound: Pr2BiHO
Source: Alexandria
Functional: PBE
Structure: relaxed

Summary:
The space group is No. 119. As for the density of states at the Fermi level: 0.3677 states/eV/atom.

a b c (Å): 7.0562 7.0562 7.0562
angles (deg): 146.37 146.37 48.30
Element x y z (fractional)
Pr 0.1523 0.1523 0.0000
Pr 0.8477 0.8477 0.0000
Bi 0.5000 0.5000 0.0000
H 0.2500 0.7500 0.5000
O 0.7500 0.2500 0.5000

---

[11]
Compound: Bi2HPtO6
Source: Alexandria
Functional: PBE
Structure: relaxed

Summary:
The space group is No. 14. As for the density of states at the Fermi level: 0.2858 states/eV/atom.

a b c (Å): 6.4383 4.9224 11.0725
angles (deg): 90.00 125.42 90.00
Element x y z (fractional)
Bi 0.1891 0.0006 0.1893
Bi 0.1891 0.4994 0.6893
Bi 0.8109 0.5006 0.3107
Bi 0.8109 0.9994 0.8107
H 0.0000 0.0000 0.5000
H 0.0000 0.5000 0.0000
Pt 0.5000 0.0000 0.0000
Pt 0.5000 0.5000 0.5000
O 0.0675 0.7307 0.0001
O 0.0675 0.7693 0.5001
O 0.1782 0.1663 0.8434
O 0.1782 0.3337 0.3434
O 0.4895 0.1696 0.1555
O 0.4895 0.3304 0.6555
O 0.5105 0.6696 0.3445
O 0.5105 0.8304 0.8445
O 0.8218 0.6663 0.6566
O 0.8218 0.8337 0.1566
O 0.9325 0.2307 0.4999
O 0.9325 0.2693 0.9999

---

[12]
Compound: ReBiH2O6
Source: Alexandria
Functional: PBE
Structure: relaxed

Summary:
The space group is No. 1. As for the density of states at the Fermi level: 0.0000 states/eV/atom.

a b c (Å): 5.2024 5.2298 5.8486
angles (deg): 63.97 65.26 64.46
Element x y z (fractional)
Re 0.0000 0.0000 0.0000
Bi 0.4609 0.4999 0.5031
H 0.3953 0.2096 0.2363
H 0.6834 0.9055 0.7942
O 0.1571 0.9710 0.2325
O 0.3210 0.8080 0.7977
O 0.5658 0.2493 0.2316
O 0.7308 0.0835 0.7616
O 0.8378 0.6896 0.2044
O 0.9990 0.3781 0.7823

---

[13]
Compound: ReBi2HO6
Source: Alexandria
Functional: PBE
Structure: relaxed

Summary:
The space group is No. 8. As for the density of states at the Fermi level: 0.2394 states/eV/atom.

a b c (Å): 5.5485 5.5485 6.2746
angles (deg): 116.14 116.14 87.99
Element x y z (fractional)
Re 0.0000 0.0000 0.0000
Bi 0.3234 0.8044 0.6019
Bi 0.8044 0.3234 0.6019
H 0.5052 0.5052 0.1880
O 0.1491 0.6893 0.8406
O 0.1532 0.1532 0.8500
O 0.1766 0.1766 0.3558
O 0.6056 0.6056 0.3855
O 0.6893 0.1491 0.8406
O 0.7071 0.7071 0.8732

---

[14]
Compound: BiHRhO2
Source: Alexandria
Functional: PBE
Structure: relaxed

Summary:
The space group is No. 123. As for the density of states at the Fermi level: 0.4104 states/eV/atom.

a b c (Å): 4.2141 4.2141 3.3535
angles (deg): 90.00 90.00 90.00
Element x y z (fractional)
Bi 0.0000 0.0000 0.0000
H 0.5000 0.5000 0.0000
Rh 0.5000 0.5000 0.5000
O 0.0000 0.5000 0.5000
O 0.5000 0.0000 0.5000

---

[15]
Compound: Bi2HRhO6
Source: Alexandria
Functional: PBE
Structure: relaxed

Summary:
The space group is No. 14. As for the density of states at the Fermi level: 0.2284 states/eV/atom.

a b c (Å): 6.0303 4.7506 11.1424
angles (deg): 90.00 122.35 90.00
Element x y z (fractional)
Bi 0.1862 0.0004 0.1866
Bi 0.1862 0.4996 0.6866
Bi 0.8138 0.9996 0.8134
Bi 0.8138 0.5004 0.3134
H 0.0000 0.0000 0.5000
H 0.0000 0.5000 0.0000
Rh 0.5000 0.0000 0.0000
Rh 0.5000 0.5000 0.5000
O 0.1045 0.2252 0.4994
O 0.1045 0.2748 0.9994
O 0.1864 0.6957 0.3476
O 0.1864 0.8043 0.8476
O 0.4874 0.7004 0.6508
O 0.4874 0.7996 0.1508
O 0.5126 0.2004 0.8492
O 0.5126 0.2996 0.3492
O 0.8136 0.1957 0.1524
O 0.8136 0.3043 0.6524
O 0.8955 0.7252 0.0006
O 0.8955 0.7748 0.5006

---

[16]
Compound: Bi2HRuO8
Source: Alexandria
Functional: PBE
Structure: relaxed

Summary:
The space group is No. 2. As for the density of states at the Fermi level: 0.4821 states/eV/atom.

a b c (Å): 4.5840 4.6234 7.1948
angles (deg): 90.06 90.05 98.91
Element x y z (fractional)
Bi 0.0005 0.0001 0.2329
Bi 0.9995 0.9999 0.7671
H 0.5000 0.5000 0.0000
Ru 0.5000 0.5000 0.5000
O 0.2466 0.1377 0.5005
O 0.2723 0.6340 0.3103
O 0.2745 0.6358 0.6900
O 0.2900 0.2701 0.9997
O 0.7100 0.7299 0.0003
O 0.7255 0.3642 0.3100
O 0.7277 0.3660 0.6897
O 0.7534 0.8623 0.4995

---

[17]
Compound: Bi2SbHO6
Source: Alexandria
Functional: PBE
Structure: relaxed

Summary:
The space group is No. 14. As for the density of states at the Fermi level: 0.0000 states/eV/atom.

a b c (Å): 5.9577 4.5339 11.3430
angles (deg): 90.00 117.39 90.00
Element x y z (fractional)
Bi 0.1747 0.0308 0.1806
Bi 0.1747 0.4692 0.6806
Bi 0.8253 0.5308 0.3194
Bi 0.8253 0.9692 0.8194
Sb 0.5000 0.0000 0.0000
Sb 0.5000 0.5000 0.5000
H 0.0000 0.0000 0.5000
H 0.0000 0.5000 0.0000
O 0.1143 0.2244 0.4800
O 0.1143 0.2756 0.9800
O 0.2238 0.6720 0.3377
O 0.2238 0.8280 0.8377
O 0.4279 0.7445 0.6203
O 0.4279 0.7555 0.1203
O 0.5721 0.2445 0.8797
O 0.5721 0.2555 0.3797
O 0.7762 0.1720 0.1623
O 0.7762 0.3280 0.6623
O 0.8857 0.7244 0.0200
O 0.8857 0.7756 0.5200

---

[18]
Compound: TaBi2HO6
Source: Alexandria
Functional: PBE
Structure: relaxed

Summary:
The space group is No. 14. As for the density of states at the Fermi level: 0.0000 states/eV/atom.

a b c (Å): 5.6204 4.4487 11.5360
angles (deg): 90.00 116.92 90.00
Element x y z (fractional)
Ta 0.0000 0.0000 0.0000
Ta 0.0000 0.5000 0.5000
Bi 0.3128 0.0413 0.8141
Bi 0.3128 0.4587 0.3141
Bi 0.6872 0.5413 0.6859
Bi 0.6872 0.9587 0.1859
H 0.5000 0.0000 0.5000
H 0.5000 0.5000 0.0000
O 0.0676 0.7481 0.8772
O 0.0676 0.7519 0.3772
O 0.2621 0.7049 0.6575
O 0.2621 0.7951 0.1575
O 0.3590 0.2335 0.5203
O 0.3590 0.2665 0.0203
O 0.6410 0.7335 0.9797
O 0.6410 0.7665 0.4797
O 0.7379 0.2049 0.8425
O 0.7379 0.2951 0.3425
O 0.9324 0.2481 0.6228
O 0.9324 0.2519 0.1228

---

[19]
Compound: TcBi2HO6
Source: Alexandria
Functional: PBE
Structure: relaxed

Summary:
The space group is No. 14.

a b c (Å): 5.6562 4.3785 11.4578
angles (deg): 90.00 116.17 90.00
Element x y z (fractional)
Tc 0.0000 0.0000 0.0000
Tc 0.0000 0.5000 0.5000
Bi 0.3253 0.0329 0.8159
Bi 0.3253 0.4671 0.3159
Bi 0.6747 0.5329 0.6841
Bi 0.6747 0.9671 0.1841
H 0.5000 0.0000 0.5000
H 0.5000 0.5000 0.0000
O 0.0793 0.7283 0.9044
O 0.0793 0.7717 0.4044
O 0.2900 0.6496 0.6782
O 0.2900 0.8504 0.1782
O 0.3830 0.2342 0.5249
O 0.3830 0.2658 0.0249
O 0.6170 0.7342 0.9751
O 0.6170 0.7658 0.4751
O 0.7100 0.1496 0.8218
O 0.7100 0.3504 0.3218
O 0.9207 0.2283 0.5956
O 0.9207 0.2717 0.0956

---

[20]
Compound: TcBiH2O6
Source: Alexandria
Functional: PBE
Structure: relaxed

Summary:
The space group is No. 1. As for the density of states at the Fermi level: 0.0000 states/eV/atom.

a b c (Å): 5.0741 5.4030 5.7183
angles (deg): 93.07 111.71 117.42
Element x y z (fractional)
Tc 0.0000 0.0000 0.0000
Bi 0.0031 0.5244 0.4939
H 0.5079 0.6080 0.1947
H 0.6666 0.2751 0.7880
O 0.1961 0.0389 0.7916
O 0.1973 0.8595 0.2264
O 0.4980 0.4458 0.2677
O 0.6142 0.6864 0.8082
O 0.8476 0.2700 0.7659
O 0.8711 0.1474 0.2095

---

[21]
Compound: BiTe2HO
Source: Alexandria
Functional: PBE
Structure: relaxed

Summary:
The space group is No. 123. As for the density of states at the Fermi level: 0.5916 states/eV/atom.

a b c (Å): 4.8426 4.8426 4.9315
angles (deg): 90.00 90.00 90.00
Element x y z (fractional)
Bi 0.0000 0.0000 0.0000
Te 0.0000 0.5000 0.5000
Te 0.5000 0.0000 0.5000
H 0.5000 0.5000 0.0000
O 0.0000 0.0000 0.5000

---

Number 1: uncorrected energy -68.55 eV for the cell shown. Number 2: uncorrected energy -16.35 eV for the cell shown. Number 3: uncorrected energy -21.77 eV for the cell shown. Number 4: uncorrected energy -19.22 eV for the cell shown. Number 5: uncorrected energy -21.38 eV for the cell shown. Number 6: uncorrected energy -113.14 eV for the cell shown. Number 7: uncorrected energy -41.04 eV for the cell shown. Number 8: uncorrected energy -17.42 eV for the cell shown. Number 9: uncorrected energy -30.17 eV for the cell shown. Number 10: uncorrected energy -30.07 eV for the cell shown. Number 11: uncorrected energy -109.85 eV for the cell shown. Number 12: uncorrected energy -65.79 eV for the cell shown. Number 13: uncorrected energy -65.52 eV for the cell shown. Number 14: uncorrected energy -26.25 eV for the cell shown. Number 15: uncorrected energy -112.61 eV for the cell shown. Number 16: uncorrected energy -67.16 eV for the cell shown. Number 17: uncorrected energy -111.31 eV for the cell shown. Number 18: uncorrected energy -136.13 eV for the cell shown. Number 19: uncorrected energy -123.00 eV for the cell shown. Number 20: uncorrected energy -62.27 eV for the cell shown. Number 21: uncorrected energy -15.90 eV for the cell shown.